Ti2TcMo: relaxed, PBE.

The electronic total energy comes out at -9.509 eV per atom. The energy relative to the elements comes out at -262 meV/atom. The value obtained for the energy above the most stable polymorph in this dataset is 65 meV per atom.

It has space group Fm-3m (No. 225), with a = 6.2648 Å, b = 6.2648 Å, c = 6.2648 Å, α = 90.00°, β = 90.00° and γ = 90.00°. Symmetry generates all atoms from Ti at (0.2500, 0.2500, 0.2500), Tc at (0.0000, 0.0000, 0.0000) and Mo at (0.0000, 0.0000, 0.5000).